A relaxed Ce5Bi2Os2 crystal. Source: Alexandria via LeMat-Bulk, functional GGA-PBE.

Computed properties:
theoretical density: 10.083 g/cm3
DFT total energy: -7.09 eV per atom
DOS(E_F): 38.134 states/eV/cell
calculated volume: 27.43 Å³/atom
SG: Cmce (64)

Cell: 8.8632 8.8632 7.8767 Å, 90.00 90.00 52.93°
Closest atoms and distances in Å follow each position.
Positions (direct):
Ce: 0.0000 0.0000 0.0000  4 Os 3.05-3.07, 2 Bi 3.36
Ce: 0.0499 0.7207 0.6641  3 Os 2.87-3.00
Ce: 0.2207 0.5499 0.1641  3 Os 2.87-3.00
Ce: 0.2793 0.9501 0.6641  3 Os 2.87-3.00
Ce: 0.4501 0.7793 0.1641  3 Os 2.87-3.00
Ce: 0.5000 0.5000 0.5000  4 Os 3.05-3.07, 2 Bi 3.36
Ce: 0.5499 0.2207 0.8359  3 Os 2.87-3.00
Ce: 0.7207 0.0499 0.3359  3 Os 2.87-3.00
Ce: 0.7793 0.4501 0.8359  3 Os 2.87-3.00
Ce: 0.9501 0.2793 0.3359  3 Os 2.87-3.00
Bi: 0.2117 0.2117 0.0000  7 Ce 3.31-3.36
Bi: 0.2883 0.2883 0.5000  7 Ce 3.31-3.36
Bi: 0.7117 0.7117 0.5000  7 Ce 3.31-3.36
Bi: 0.7883 0.7883 0.0000  7 Ce 3.31-3.36
Os: 0.1366 0.8634 0.3627  8 Ce 2.87-3.07, 1 Os 3.06
Os: 0.3634 0.6366 0.8627  8 Ce 2.87-3.07, 1 Os 3.06
Os: 0.6366 0.3634 0.1373  8 Ce 2.87-3.07, 1 Os 3.06
Os: 0.8634 0.1366 0.6373  8 Ce 2.87-3.07, 1 Os 3.06